[1]
A plane-wave DFT calculation with PBE-GGA was carried out for a geometry-optimized CsRh3Cl structure.

Cell lengths 5.1062, 5.1062, 5.1062 Å; angles 90.00, 90.00, 90.00 degrees
With the nearest neighbours (Å) after each atom.
Fractional positions:
Cs 0.0000 0.0000 0.0000  6 Rh 2.55
Rh 0.0000 0.0000 0.5000  2 Cs 2.55
Rh 0.0000 0.5000 0.0000  2 Cs 2.55
Rh 0.5000 0.0000 0.0000  2 Cs 2.55
Cl 0.5000 0.5000 0.5000  12 Rh 3.61

## Properties
Fermi-level density of states in states/eV/f.u.: 9.36
E in eV per atom: -2.916

[2]
A plane-wave DFT calculation with PBE-GGA was carried out for a geometry-optimized NaZnFeN structure.

Cell lengths 3.4196, 3.4196, 10.5553 Å; angles 90.00, 90.00, 90.00 degrees
With the nearest neighbours (Å) after each atom.
Fractional positions:
Na 0.2500 0.2500 0.2388  4 N 2.93, 4 Fe 3.05, 4 Zn 3.24
Na 0.7500 0.7500 0.7612  4 N 2.93, 4 Fe 3.05, 4 Zn 3.24
Zn 0.2500 0.7500 0.5000  4 Zn 2.42
Zn 0.7500 0.2500 0.5000  4 Zn 2.42
Fe 0.2500 0.7500 0.0000  4 N 1.92
Fe 0.7500 0.2500 0.0000  4 N 1.92
N 0.2500 0.2500 0.9179  4 Fe 1.92
N 0.7500 0.7500 0.0821  4 Fe 1.92

## Properties
Fermi-level density of states in states/eV/f.u.: 1.64
E in eV per atom: -4.867

[3]
A plane-wave DFT calculation with PBE-GGA was carried out for a geometry-optimized CsScMnBr6 structure.

Cell lengths 7.0048, 7.0048, 8.1958 Å; angles 90.00, 90.00, 120.00 degrees
With the nearest neighbours (Å) after each atom.
Fractional positions:
Cs 0.0000 0.0000 0.0000  6 Br 3.67
Sc 0.3333 0.6667 0.5000  6 Br 2.68
Mn 0.6667 0.3333 0.5000  6 Br 2.70
Br 0.0030 0.3777 0.3114  1 Sc 2.68, 1 Mn 2.70
Br 0.0030 0.6252 0.6886  1 Sc 2.68, 1 Mn 2.70
Br 0.3748 0.3777 0.6886  1 Sc 2.68, 1 Mn 2.70
Br 0.3748 0.9970 0.3114  1 Sc 2.68, 1 Mn 2.70
Br 0.6223 0.6252 0.3114  1 Sc 2.68, 1 Mn 2.70
Br 0.6223 0.9970 0.6886  1 Sc 2.68, 1 Mn 2.70

## Properties
Fermi-level density of states in states/eV/f.u.: 0.00
E in eV per atom: -4.376

[4]
A plane-wave DFT calculation with PBE-GGA was carried out for a geometry-optimized LaTlN2 structure.

Cell lengths 6.7333, 6.7333, 6.7333 Å; angles 132.78, 132.78, 69.01 degrees
With the nearest neighbours (Å) after each atom.
Fractional positions:
La 0.0000 0.0000 0.0000  4 N 2.40
La 0.7500 0.2500 0.5000  4 N 2.40
Tl 0.2500 0.7500 0.5000  4 N 2.32
Tl 0.5000 0.5000 0.0000  4 N 2.32
N 0.1384 0.6250 0.0134  2 Tl 2.32, 2 La 2.40
N 0.3750 0.3884 0.5134  2 Tl 2.32, 2 La 2.40
N 0.6116 0.1250 0.9866  2 Tl 2.32, 2 La 2.40
N 0.8750 0.8616 0.4866  2 Tl 2.32, 2 La 2.40

## Properties
Fermi-level density of states in states/eV/f.u.: 0.00
E in eV per atom: -6.154

[5]
A plane-wave DFT calculation with PBE-GGA was carried out for a geometry-optimized SiSn structure.

Cell lengths 3.7054, 3.7054, 7.7135 Å; angles 90.00, 90.00, 120.00 degrees
With the nearest neighbours (Å) after each atom.
Fractional positions:
Si 0.0000 0.0000 0.0000  3 Si 2.40
Si 0.3333 0.6667 0.1397  3 Si 2.40
Sn 0.3333 0.6667 0.7350  4 Si 2.96-3.12, 3 Sn 3.28
Sn 0.6667 0.3333 0.4120  3 Si 3.00, 3 Sn 3.28

## Properties
Fermi-level density of states in states/eV/f.u.: 0.89
E in eV per atom: -4.486

[6]
A plane-wave DFT calculation with PBE-GGA was carried out for a geometry-optimized La2PuTaN5 structure.

Cell lengths 7.3011, 7.3011, 10.8558 Å; angles 90.00, 90.00, 151.70 degrees
With the nearest neighbours (Å) after each atom.
Fractional positions:
La 0.1066 0.8934 0.5000  6 N 2.47-2.76
La 0.1445 0.8555 0.0995  5 N 2.60-2.65
La 0.8555 0.1445 0.5995  5 N 2.60-2.65
La 0.8934 0.1066 0.0000  6 N 2.47-2.76
Pu 0.2127 0.7873 0.8187  6 N 2.26-2.38
Pu 0.7873 0.2127 0.3187  6 N 2.26-2.38
Ta 0.4836 0.5164 0.2716  4 N 1.94-2.02
Ta 0.5164 0.4836 0.7716  4 N 1.94-2.02
N 0.0494 0.9506 0.8478  2 Ta 2.02
N 0.2778 0.7222 0.4559  2 Pu 2.33, 1 La 2.47
N 0.3164 0.6836 0.1966  2 Pu 2.26, 1 Ta 2.50
N 0.3806 0.6194 0.8204  1 Ta 1.99
N 0.4893 0.5107 0.5968  1 Ta 1.94
N 0.5107 0.4893 0.0968  1 Ta 1.94
N 0.6194 0.3806 0.3204  1 Ta 1.99
N 0.6836 0.3164 0.6966  2 Pu 2.26, 1 Ta 2.50
N 0.7222 0.2778 0.9559  2 Pu 2.33, 1 La 2.47
N 0.9506 0.0494 0.3478  2 Ta 2.02

## Properties
Fermi-level density of states in states/eV/f.u.: 4.74
E in eV per atom: -9.924

[7]
A plane-wave DFT calculation with PBE-GGA was carried out for a geometry-optimized Er3Pd structure.

Cell lengths 8.8476, 8.8476, 6.0821 Å; angles 110.05, 110.05, 83.21 degrees
With the nearest neighbours (Å) after each atom.
Fractional positions:
Er 0.0000 0.0000 0.0000  4 Pd 2.95-3.13
Er 0.0000 0.2869 0.6437  4 Pd 2.95-3.13
Er 0.1649 0.6435 0.1455  2 Pd 3.03, 3 Er 3.19-3.37
Er 0.3565 0.8351 0.8545  2 Pd 3.03, 3 Er 3.19-3.37
Er 0.3566 0.0486 0.4897  2 Pd 2.92
Er 0.3566 0.2387 0.0852  2 Pd 2.91-2.92
Er 0.3568 0.4517 0.6630  2 Pd 3.03-3.04, 3 Er 3.19-3.37
Er 0.5483 0.6432 0.3370  2 Pd 3.03-3.04, 3 Er 3.19-3.37
Er 0.7131 0.0000 0.3563  4 Pd 2.95-3.13
Er 0.7130 0.2870 0.0000  4 Pd 2.95-3.13
Er 0.7613 0.6434 0.9148  2 Pd 2.91-2.92
Er 0.9514 0.6434 0.5103  2 Pd 2.92
Pd 0.0621 0.3492 0.2054  8 Er 2.91-3.13
Pd 0.0624 0.9376 0.5000  8 Er 2.92-3.13
Pd 0.6509 0.3491 0.5000  8 Er 2.92-3.13
Pd 0.6508 0.9379 0.7946  8 Er 2.91-3.13

## Properties
Fermi-level density of states in states/eV/f.u.: 6.23
E in eV per atom: -5.145
Calculated formation energy in eV per atom: -0.425

[8]
A plane-wave DFT calculation with PBE-GGA was carried out for a geometry-optimized Pm3Hg2Ir structure.

Cell lengths 8.2506, 8.2506, 7.5869 Å; angles 90.00, 90.00, 143.43 degrees
With the nearest neighbours (Å) after each atom.
Fractional positions:
Pm 0.0000 0.0000 0.2369  2 Ir 2.99, 6 Hg 3.15-3.28
Pm 0.0000 0.0000 0.7631  2 Ir 2.99, 6 Hg 3.15-3.28
Pm 0.3254 0.6746 0.2232  3 Ir 3.11-3.19, 5 Hg 3.22-3.45, 1 Pm 3.39
Pm 0.3254 0.6746 0.7768  3 Ir 3.11-3.19, 5 Hg 3.22-3.45, 1 Pm 3.39
Pm 0.6746 0.3254 0.2232  3 Ir 3.11-3.19, 5 Hg 3.22-3.45, 1 Pm 3.39
Pm 0.6746 0.3254 0.7768  3 Ir 3.11-3.19, 5 Hg 3.22-3.45, 1 Pm 3.39
Hg 0.1660 0.8340 0.5000  8 Pm 3.26-3.34
Hg 0.5000 0.5000 0.0000  8 Pm 3.15-3.22, 4 Ir 3.52
Hg 0.5000 0.5000 0.5000  8 Pm 3.27-3.45
Hg 0.8340 0.1660 0.5000  8 Pm 3.26-3.34
Ir 0.1526 0.8474 0.0000  8 Pm 2.99-3.19
Ir 0.8474 0.1526 0.0000  8 Pm 2.99-3.19

## Properties
Fermi-level density of states in states/eV/f.u.: 4.00
E in eV per atom: -4.497
Calculated formation energy in eV per atom: -0.544